Density functional theory data (PBE with a Hubbard U) for crystalline Na3In3CoO8 at its relaxed geometry.

Cell: 6.648 6.648 6.648 Å, 57.48 57.48 57.48°
Element x y z (fractional)
Na  0.000  0.500  0.500
Na  0.500  0.000  0.500
Na  0.500  0.500  0.000
In  0.000  0.000  0.500
In  0.000  0.500  0.000
In  0.500  0.000  0.000
Co  0.500  0.500  0.500
O  0.238  0.238  0.238
O  0.269  0.712  0.712
O  0.288  0.288  0.731
O  0.288  0.731  0.288
O  0.712  0.269  0.712
O  0.712  0.712  0.269
O  0.731  0.288  0.288
O  0.762  0.762  0.762

## Properties
Total magnetic moment ... 1.09 μB/cell
Raw total energy ... -5.24 eV per atom